## Mg2VSO (PBE+U)

Data for a relaxed structure of Mg2VSO.

Results
- Size of the total moment: 0.84 μB/atom
- E_tot: -3.36 eV/atom
- Fermi-level density of states: 4.24 states/eV/f.u.

Lattice parameters (Å, degrees): 5.327 5.327 4.321 90.00 90.00 90.00
Space group P4/mmm (No. 123)
One atom of each set of equivalent atoms:
Mg1 0.000 0.500 0.000 (multiplicity 2)
V1 0.000 0.000 0.000 (multiplicity 1)
S1 0.000 0.000 0.500 (multiplicity 1)
O1 0.500 0.500 0.500 (multiplicity 1)